Material: KTa3Ge
Method: DFT, PBE-GGA
State: relaxed

Geometry as POSCAR:
```
KTa3Ge
1.0
-2.668 3.350 1.801
1.378 -1.199 4.271
3.545 2.987 -0.305
K Ta Ge
1 3 1
Direct
0.000 0.000 0.000
0.000 0.000 0.500
0.000 0.500 0.000
0.500 0.000 0.000
0.500 0.500 0.500
```

Values from the calculation:
The symmetry is No. 221.

---

Material: HfCoRe
Method: DFT, PBE-GGA
State: relaxed

Geometry as POSCAR:
```
HfCoRe
1.0
6.580 0.000 0.000
3.290 6.803 0.193
3.290 2.447 6.351
Co Hf Re
6 6 6
Direct
0.926 0.333 0.333
0.926 0.833 0.833
0.253 0.749 0.249
0.591 0.667 0.667
0.251 0.251 0.751
0.591 0.167 0.167
0.259 0.952 0.452
0.849 0.750 0.250
0.663 0.048 0.548
0.849 0.250 0.750
0.259 0.452 0.952
0.664 0.548 0.048
0.257 0.373 0.374
0.004 0.627 0.626
0.257 0.874 0.873
0.004 0.126 0.127
0.510 0.500 0.500
0.510 0.000 0.000
```

Values from the calculation:
The symmetry is No. 46.

---

Material: Ba2CaTlIr
Method: DFT, PBE-GGA
State: relaxed

Geometry as POSCAR:
```
Ba2CaTlIr
1.0
6.112 0.000 0.000
0.000 6.112 0.000
0.000 0.000 5.506
Ba Tl Ir Ca
2 1 1 1
Direct
0.500 0.000 0.000
0.000 0.500 0.000
0.500 0.500 0.500
0.000 0.000 0.000
0.000 0.000 0.500
```

Values from the calculation:
The symmetry is No. 123.

---

Short version: calculated volume = 100.3, 46.9, 205.7 Å³/f.u., in the order given.
Short version: raw total energy = -5.3046, -10.0046, -3.5817 eV per atom, in the order given.
Short version: DOS at the Fermi energy = 3.6, 4.3, 3.5 states/eV/f.u., in the order given.